# K2BiWO6, relaxed, DFT PBE with a Hubbard U
# Mass density: 6.35 g/cm³
# Spin magnetization: 0.00 μB/cell
# Total DFT energy (no corrections): -5.98 eV per atom
data_K2BiWO6
_cell_length_a 5.9430
_cell_length_b 5.9430
_cell_length_c 8.3947
_cell_angle_alpha 90.00
_cell_angle_beta 90.00
_cell_angle_gamma 90.00
_symmetry_space_group_name_H-M 'I 4/m m m'
_symmetry_Int_Tables_number 139
_symmetry_space_group_name_Hall '-I 4 2'
loop_
_atom_site_label
_atom_site_type_symbol
_atom_site_fract_x
_atom_site_fract_y
_atom_site_fract_z
_atom_site_occupancy
K1 K 0.0000 0.5000 0.2500 1
Bi1 Bi 0.0000 0.0000 0.0000 1
W1 W 0.0000 0.0000 0.5000 1
O1 O 0.0000 0.0000 0.2673 1
O2 O 0.2320 0.2320 0.5000 1